# BeSiSb, relaxed, DFT PBE-GGA
data_BeSiSb
_chemical_formula_sum 'Be2 Si2 Sb2'
_symmetry_space_group_name_H-M 'P 1'
_symmetry_Int_Tables_number 1
_cell_length_a 4.0720
_cell_length_b 5.2170
_cell_length_c 6.1096
_cell_angle_alpha 103.76
_cell_angle_beta 95.45
_cell_angle_gamma 98.83
loop_
_symmetry_equiv_pos_as_xyz
'x,y,z'
loop_
_atom_site_label
_atom_site_fract_x
_atom_site_fract_y
_atom_site_fract_z
Be1 0.0000 0.0000 0.0000
Be2 0.2439 0.2462 0.7526
Si1 0.5958 0.6562 0.3909
Si2 0.6884 0.0500 0.6931
Sb1 0.0312 0.3290 0.3723
Sb2 0.4252 0.7153 0.9847
# - Crystal system: triclinic
# - Formation energy (no corrections): 212 meV/atom
# - Calculated density: 4.28 g/cm³
# - Energy: -4.21 eV/atom